Arrangement A

Computed, not measured: crystalline La3Be5 at its relaxed geometry at the PBE-GGA level of DFT.

The structure in POSCAR format:
```
La3Be5
1.0
-4.8443 -4.9316 6.6988
-2.0969 -1.2022 -9.3177
2.6288 -2.8809 -0.2199
Be La
10 6
direct
0.8718 0.0000 0.7500
0.6667 0.3333 0.5000
0.6667 0.3333 0.0000
0.8718 0.8718 0.2500
0.1282 0.0000 0.2500
0.0000 0.1282 0.2500
0.1282 0.1282 0.7500
0.0000 0.8718 0.7500
0.3333 0.6667 0.0000
0.3333 0.6667 0.5000
0.3628 0.0000 0.7500
0.6372 0.0000 0.2500
0.0000 0.3628 0.7500
0.3628 0.3628 0.2500
0.0000 0.6372 0.2500
0.6372 0.6372 0.7500
```

Properties
Magnetic moment: 0.000 μB/atom

Arrangement B

Computed, not measured: crystalline La3Be5 at its relaxed geometry at the PBE-GGA level of DFT.

The structure in POSCAR format:
```
La3Be5
1.0
3.3859 -5.2107 0.0000
3.3859 5.2107 0.0000
0.0000 0.0000 4.6061
La Be
3 5
direct
0.2334 0.7666 0.5000
0.5000 0.5000 0.0000
0.7666 0.2334 0.5000
0.0000 0.0000 0.0000
0.8112 0.8112 0.5000
0.5000 0.0000 0.0000
0.1888 0.1888 0.5000
0.0000 0.5000 0.0000
```

Properties
Magnetic moment: 0.000 μB/atom

Stability ranking, top and bottom: arrangement A is the most stable and arrangement B is the least stable.

Arrangement A

Computed, not measured: crystalline La4Be at its relaxed geometry at the PBE-GGA level of DFT.

The structure in POSCAR format:
```
La4Be
1.0
-0.0380 4.2151 -3.7064
1.3780 -3.5860 -4.0923
-5.4411 -0.9376 -1.0106
La Be
4 1
direct
0.5000 0.0000 0.5000
0.0000 0.0000 0.0000
0.0000 0.5000 0.5000
0.5000 0.5000 0.0000
0.5000 0.5000 0.5000
```

Properties
Magnetic moment: 0.000 μB/atom

Arrangement B

Computed, not measured: crystalline La4Be at its relaxed geometry at the PBE-GGA level of DFT.

The structure in POSCAR format:
```
La4Be
1.0
-2.0820 2.0820 9.7763
2.0820 -2.0820 9.7763
2.0820 2.0820 -9.7763
Be La
1 4
direct
0.0000 0.0000 0.0000
0.5769 0.5769 0.0000
0.7500 0.2500 0.5000
0.2500 0.7500 0.5000
0.4231 0.4231 0.0000
```

Properties
Magnetic moment: 0.000 μB/atom

Stability ranking, top and bottom: arrangement A is the most stable and arrangement B is the least stable.

Arrangement A

Computed, not measured: crystalline La3Be2 at its relaxed geometry at the PBE-GGA level of DFT.

The structure in POSCAR format:
```
La3Be2
1.0
2.4565 -4.2547 0.0000
2.4565 4.2547 0.0000
0.0000 0.0000 6.2121
Be La
2 3
direct
0.6667 0.3333 0.1252
0.3333 0.6667 0.8748
0.0000 0.0000 0.0000
0.6667 0.3333 0.6242
0.3333 0.6667 0.3758
```

Properties
Magnetic moment: 0.000 μB/atom

Arrangement B

Computed, not measured: crystalline La3Be2 at its relaxed geometry at the PBE-GGA level of DFT.

The structure in POSCAR format:
```
La3Be2
1.0
-6.5822 9.8411 1.3645
-9.2088 7.5652 -0.0263
-8.4711 7.5497 3.6436
La Be
3 2
direct
0.7843 0.7843 0.7843
0.0000 0.0000 0.0000
0.2157 0.2157 0.2157
0.3940 0.3940 0.3940
0.6060 0.6060 0.6060
```

Properties
Magnetic moment: 0.000 μB/atom

Stability ranking, top and bottom: arrangement A is the most stable and arrangement B is the least stable.

Arrangement A

Computed, not measured: crystalline La2MgBe2 at its relaxed geometry at the PBE-GGA level of DFT.

The structure in POSCAR format:
```
La2MgBe2
1.0
-1.5836 -4.6744 -2.9056
-0.6145 -2.8545 4.9270
-4.6803 -2.6683 1.1991
Mg Be La
1 2 2
direct
0.0000 0.0000 0.0000
0.6322 0.6322 0.7356
0.3678 0.3678 0.2644
0.2500 0.7500 0.5000
0.7500 0.2500 0.5000
```

Properties
Magnetic moment: 0.000 μB/atom

Arrangement B

Computed, not measured: crystalline La2MgBe2 at its relaxed geometry at the PBE-GGA level of DFT.

The structure in POSCAR format:
```
La2MgBe2
1.0
-5.1390 5.3593 -3.1168
-4.2201 -5.9896 -3.3408
-2.0815 -0.2285 3.0390
Mg La Be
2 4 4
direct
0.5000 0.5000 0.0000
0.0000 0.0000 0.0000
0.3129 0.1871 0.5000
0.6871 0.8129 0.5000
0.1871 0.6871 0.5000
0.8129 0.3129 0.5000
0.4012 0.9012 0.0000
0.0988 0.4012 0.0000
0.5988 0.0988 0.0000
0.9012 0.5988 0.0000
```

Properties
Magnetic moment: 0.000 μB/atom

Stability ranking, top and bottom: arrangement B is the most stable and arrangement A is the least stable.

Arrangement A

Computed, not measured: crystalline LaMnBe at its relaxed geometry at the PBE-GGA level of DFT.

The structure in POSCAR format:
```
LaMnBe
1.0
4.5729 0.0000 0.0000
2.2865 3.9603 0.0000
2.2865 1.3201 3.7338
Mn La Be
1 1 1
direct
0.5000 0.5000 0.5000
0.0000 0.0000 0.0000
0.2500 0.2500 0.2500
```

Properties
Magnetic moment: 1.147 μB/atom

Arrangement B

Computed, not measured: crystalline LaMnBe at its relaxed geometry at the PBE-GGA level of DFT.

The structure in POSCAR format:
```
LaMnBe
1.0
-3.1934 2.5872 -0.3304
-0.5631 -3.7842 1.5371
0.7717 1.4421 3.8332
Mn Be La
1 1 1
direct
0.3333 0.6667 0.8333
0.0000 0.0000 0.8333
0.6667 0.3333 0.3333
```

Properties
Magnetic moment: 0.806 μB/atom

Arrangement C

Computed, not measured: crystalline LaMnBe at its relaxed geometry at the PBE-GGA level of DFT.

The structure in POSCAR format:
```
LaMnBe
1.0
4.7623 0.0000 0.0000
2.3811 4.1243 0.0000
2.3811 1.3748 3.8884
Mn La Be
1 1 1
direct
0.0000 0.0000 0.0000
0.2500 0.2500 0.2500
0.5000 0.5000 0.5000
```

Properties
Magnetic moment: 1.278 μB/atom

Stability ranking, top and bottom: arrangement B is the most stable and arrangement C is the least stable.

Arrangement A

Computed, not measured: crystalline LaMnBe at its relaxed geometry at the PBE-GGA level of DFT.

The structure in POSCAR format:
```
LaMnBe
1.0
-3.7093 -3.2214 2.4814
-0.8699 -4.6497 2.8137
0.0259 0.7732 3.1007
Be La Mn
1 1 1
direct
0.0588 0.0587 0.9412
0.3376 0.3376 0.6624
0.6037 0.6037 0.3963
```

Properties
Magnetic moment: 0.361 μB/atom

Arrangement B

Computed, not measured: crystalline LaMnBe at its relaxed geometry at the PBE-GGA level of DFT.

The structure in POSCAR format:
```
LaMnBe
1.0
-0.5507 -1.0165 -4.0776
-3.7844 -1.3415 -1.3572
-2.3550 2.4804 -2.5030
Mn Be La
1 1 1
direct
0.2500 0.2500 0.2500
0.0000 0.0000 0.0000
0.5000 0.5000 0.5000
```

Properties
Magnetic moment: 0.000 μB/atom

Stability ranking, top and bottom: arrangement A is the most stable and arrangement B is the least stable.

Arrangement A

Computed, not measured: crystalline LaMn2Be at its relaxed geometry at the PBE-GGA level of DFT.

The structure in POSCAR format:
```
LaMn2Be
1.0
4.3293 0.0000 0.0000
0.0000 4.3293 0.0000
2.1647 2.1647 8.1859
La Be Mn
2 2 4
direct
0.7500 0.2500 0.5000
0.0000 0.0000 0.0000
0.2500 0.7500 0.5000
0.5000 0.5000 0.0000
0.3751 0.6250 0.2500
0.3750 0.6251 0.7500
0.3749 0.1250 0.2500
0.8750 0.6249 0.7500
```

Properties
Magnetic moment: 0.792 μB/atom

Arrangement B

Computed, not measured: crystalline LaMn2Be at its relaxed geometry at the PBE-GGA level of DFT.

The structure in POSCAR format:
```
LaMn2Be
1.0
4.1422 0.0000 0.0000
0.0000 4.1441 0.0000
0.0000 0.0000 3.7842
Mn La Be
2 1 1
direct
0.0000 0.0000 0.0000
0.5000 0.5000 0.0000
0.0000 0.5000 0.5000
0.5000 0.0000 0.5000
```

Properties
Magnetic moment: 1.145 μB/atom

Stability ranking, top and bottom: arrangement A is the most stable and arrangement B is the least stable.

Arrangement A

Computed, not measured: crystalline LaMn2Be at its relaxed geometry at the PBE-GGA level of DFT.

The structure in POSCAR format:
```
LaMn2Be
1.0
-4.0762 1.0559 3.0779
3.4782 -3.2532 2.1266
1.1478 1.4928 2.3526
Mn La Be
2 1 1
direct
0.5000 0.5000 0.0000
0.0000 0.0000 0.0000
0.0000 0.5000 0.5000
0.5000 0.0000 0.5000
```

Properties
Magnetic moment: 1.228 μB/atom

Arrangement B

Computed, not measured: crystalline LaMn2Be at its relaxed geometry at the PBE-GGA level of DFT.

The structure in POSCAR format:
```
LaMn2Be
1.0
3.8733 0.0042 0.0080
1.9330 3.3566 0.0080
1.9222 1.1126 5.2880
Be Mn La
1 2 1
direct
0.4407 0.4407 0.6776
0.7449 0.7449 0.7651
0.0610 0.0610 0.8169
0.2534 0.2534 0.2404
```

Properties
Magnetic moment: 0.000 μB/atom

Arrangement C

Computed, not measured: crystalline LaMn2Be at its relaxed geometry at the PBE-GGA level of DFT.

The structure in POSCAR format:
```
LaMn2Be
1.0
-1.1606 -2.8319 0.1753
2.0347 -0.9628 -2.0810
4.2302 -1.4365 4.8006
Mn Be La
2 1 1
direct
0.0000 0.0000 0.1008
0.0000 0.0000 0.3992
0.5000 0.5000 0.2500
0.5000 0.5000 0.7500
```

Properties
Magnetic moment: 0.211 μB/atom

Arrangement D

Computed, not measured: crystalline LaMn2Be at its relaxed geometry at the PBE-GGA level of DFT.

The structure in POSCAR format:
```
LaMn2Be
1.0
-1.7779 3.3658 1.5184
-2.7429 -0.6158 -1.8468
-2.6092 -2.8208 3.1978
Mn Be La
2 1 1
direct
0.0000 0.0451 0.1186
0.0000 0.4549 0.3814
0.5000 0.2500 0.2500
0.5000 0.7500 0.7500
```

Properties
Magnetic moment: 0.000 μB/atom

Stability ranking, top and bottom: arrangement B is the most stable and arrangement A is the least stable.

Arrangement A

Computed, not measured: crystalline LaMn2Be at its relaxed geometry at the PBE-GGA level of DFT.

The structure in POSCAR format:
```
LaMn2Be
1.0
5.3714 0.4014 -0.0246
1.7890 5.0807 0.0246
-2.7657 -3.8048 2.6245
Be La Mn
1 1 2
direct
0.7500 0.2500 0.5000
0.2500 0.7500 0.5000
0.5465 0.5465 0.0000
0.9535 0.9535 0.0000
```

Properties
Magnetic moment: 1.599 μB/atom

Arrangement B

Computed, not measured: crystalline LaMn2Be at its relaxed geometry at the PBE-GGA level of DFT.

The structure in POSCAR format:
```
LaMn2Be
1.0
2.9906 0.0000 0.0000
0.0000 2.9906 0.0000
0.0000 0.0000 7.0909
Mn Be La
2 1 1
direct
0.0000 0.0000 0.0816
0.5000 0.5000 0.2540
0.0000 0.0000 0.4193
0.5000 0.5000 0.7451
```

Properties
Magnetic moment: 0.035 μB/atom

Arrangement C

Computed, not measured: crystalline LaMn2Be at its relaxed geometry at the PBE-GGA level of DFT.

The structure in POSCAR format:
```
LaMn2Be
1.0
5.2512 0.0403 -0.3277
2.3099 4.7161 0.3277
-3.2948 -3.1504 2.6275
Be Mn La
1 2 1
direct
0.5357 0.5357 0.0000
0.9913 0.9913 0.0000
0.7128 0.2128 0.5000
0.2603 0.7603 0.5000
```

Properties
Magnetic moment: 1.328 μB/atom

Arrangement D

Computed, not measured: crystalline LaMn2Be at its relaxed geometry at the PBE-GGA level of DFT.

The structure in POSCAR format:
```
LaMn2Be
1.0
1.3251 -3.9840 0.8213
2.0874 -0.8533 3.6356
-1.9000 -2.2963 3.0691
Be La Mn
1 1 2
direct
0.0000 0.0000 0.0000
0.5000 0.5000 0.5000
0.2500 0.2500 0.2500
0.7500 0.7500 0.7500
```

Properties
Magnetic moment: 0.000 μB/atom

Stability ranking, top and bottom: arrangement B is the most stable and arrangement D is the least stable.

Arrangement A

Computed, not measured: crystalline LaBeMo3 at its relaxed geometry at the PBE-GGA level of DFT.

The structure in POSCAR format:
```
LaBeMo3
1.0
-1.6513 3.1535 -2.7672
-4.0260 -2.0278 0.0916
-1.1804 2.5044 3.5585
La Be Mo
1 1 3
direct
0.5000 0.5000 0.5000
0.0000 0.0000 0.0000
0.0000 0.0000 0.5000
0.5000 0.0000 0.0000
0.0000 0.5000 0.0000
```

Properties
Magnetic moment: 0.000 μB/atom

Arrangement B

Computed, not measured: crystalline LaBeMo3 at its relaxed geometry at the PBE-GGA level of DFT.

The structure in POSCAR format:
```
LaBeMo3
1.0
4.7639 0.0000 0.0000
0.0000 4.7639 0.0000
0.0000 0.0000 4.7639
Be Mo La
1 3 1
direct
0.5000 0.5000 0.5000
0.5000 0.0000 0.0000
0.0000 0.5000 0.0000
0.0000 0.0000 0.5000
0.0000 0.0000 0.0000
```

Properties
Magnetic moment: 0.037 μB/atom

Stability ranking, top and bottom: arrangement A is the most stable and arrangement B is the least stable.

Arrangement A

Computed, not measured: crystalline La2BeN at its relaxed geometry at the PBE-GGA level of DFT.

The structure in POSCAR format:
```
La2BeN
1.0
-6.3512 2.3405 1.4933
0.3251 -3.0757 6.2032
-1.3338 3.1367 5.4978
La Be N
4 2 2
direct
0.6969 0.1250 0.2500
0.3750 0.3031 0.7500
0.8750 0.9469 0.7500
0.0531 0.6250 0.2500
0.5000 0.5000 0.0000
0.2500 0.7500 0.5000
0.0000 0.0000 0.0000
0.7500 0.2500 0.5000
```

Properties
Magnetic moment: 0.000 μB/atom

Arrangement B

Computed, not measured: crystalline La2BeN at its relaxed geometry at the PBE-GGA level of DFT.

The structure in POSCAR format:
```
La2BeN
1.0
3.5811 0.0000 0.0000
1.7905 3.1013 0.0000
1.7905 1.0338 9.1056
La N Be
2 1 1
direct
0.8856 0.8856 0.3432
0.1144 0.1144 0.6568
0.5000 0.5000 0.5000
0.0000 0.0000 0.0000
```

Properties
Magnetic moment: 0.000 μB/atom

Arrangement C

Computed, not measured: crystalline La2BeN at its relaxed geometry at the PBE-GGA level of DFT.

The structure in POSCAR format:
```
La2BeN
1.0
0.0000 3.3826 3.3826
3.3826 0.0000 3.3826
3.3826 3.3826 0.0000
La Be N
2 1 1
direct
0.7500 0.7500 0.7500
0.2500 0.2500 0.2500
0.0000 0.0000 0.0000
0.5000 0.5000 0.5000
```

Properties
Magnetic moment: 0.000 μB/atom

Stability ranking, top and bottom: arrangement A is the most stable and arrangement C is the least stable.